# 1
A relaxed PmHo2Rh3 crystal. Source: Alexandria, functional PBE.

Summary:
The value obtained for the total magnetization is 0.0 μB/f.u. The calculation puts the total energy at -6.819 eV/atom.

a = 4.8718 Å, b = 4.8718 Å, c = 5.9723 Å
α = 90.00°, β = 90.00°, γ = 120.00°
Space group P-3m1 (No. 164)
One atom of each set of equivalent atoms:
1 Pm 0.0000 0.0000 0.0000
2 Ho 0.3333 0.6667 0.6636
3 Rh 0.0000 0.0000 0.5000
4 Rh 0.3333 0.6667 0.1747

---

# 2
A relaxed Pm3HoRh8 crystal. Source: Alexandria, functional PBE.

Summary:
The value obtained for the total magnetization is 0.0 μB/f.u. The calculation puts the total energy at -7.168 eV/atom.

a = 5.3808 Å, b = 5.3808 Å, c = 26.3705 Å
α = 90.00°, β = 90.00°, γ = 120.00°
Space group R3m (No. 160, hexagonal axes)
One atom of each set of equivalent atoms:
1 Pm 0.0000 0.0000 0.0000
2 Pm 0.0000 0.0000 0.1254
3 Pm 0.0000 0.0000 0.5008
4 Ho 0.0000 0.0000 0.6258
5 Rh 0.0000 0.0000 0.3129
6 Rh 0.0000 0.0000 0.8130
7 Rh 0.0003 0.5002 0.5637
8 Rh 0.1670 0.3341 0.3956